TlPPt2: relaxed, GGA-PBE.

For the energy of formation, the calculation gives -108 meV/atom. The density of states at the Fermi level is 0.53 states/eV per atom. The calculation puts the total energy at -5.072 eV per atom.

The space group is Imm2 (No. 44) and the conventional cell measures 3.183, 3.565 and 13.342 Å, with angles of 90.00, 90.00 and 90.00 degrees. The asymmetric unit holds Tl at (0.000, 0.000, 0.000), P at (0.000, 0.500, 0.266), Pt at (0.000, 0.000, 0.634) and Pt at (0.000, 0.500, 0.814).

=====

TlP2Pt2: relaxed, GGA-PBE.

For the energy of formation, the calculation gives -223 meV/atom. The density of states at the Fermi level is 0.43 states/eV per atom. The calculation puts the total energy at -5.276 eV per atom.

The space group is I4/mmm (No. 139) and the conventional cell measures 4.238, 4.238 and 11.993 Å, with angles of 90.00, 90.00 and 90.00 degrees. The asymmetric unit holds Tl at (0.000, 0.000, 0.000), P at (0.000, 0.000, 0.346) and Pt at (0.000, 0.500, 0.250).